# 1
Here is an optimized crystal structure of PmBe4B4 from the Alexandria database. Energies are from PBE-GGA.

abc: 4.9211 4.9211 6.9523
angles: 90.00 90.00 90.00
Fractional coordinates of all 18 atoms:
B 0.0000 0.3342 0.6685
Be 0.5000 0.7269 0.1303
B 0.8342 0.5000 0.1685
Be 0.0000 0.2269 0.3697
B 0.1658 0.5000 0.1685
B 0.0000 0.6658 0.6685
B 0.5000 0.8342 0.8315
Be 0.0000 0.7731 0.3697
B 0.5000 0.1658 0.8315
Be 0.2731 0.5000 0.8697
Pm 0.0000 0.0000 0.0000
Be 0.5000 0.2731 0.1303
B 0.6658 0.0000 0.3315
Be 0.2269 0.0000 0.6303
Be 0.7269 0.5000 0.8697
Pm 0.5000 0.5000 0.5000
Be 0.7731 0.0000 0.6303
B 0.3342 0.0000 0.3315

Energy of formation ... -0.10 eV per atom
Space group ... No. 137

***

# 2
Here is an optimized crystal structure of Pm3BeB2Pt9 from the Alexandria database. Energies are from PBE-GGA.

abc: 5.7819 5.7819 8.9857
angles: 90.00 90.00 120.00
Fractional coordinates of all 15 atoms:
Pt 0.5000 0.0000 0.0000
Pt 0.3252 0.1626 0.7011
Pm 0.6667 0.3333 0.3900
Pt 0.6748 0.8374 0.2989
Pm 0.3333 0.6667 0.6100
Pt 0.5000 0.5000 0.0000
Pt 0.0000 0.5000 0.0000
Pt 0.1626 0.8374 0.2989
B 0.6667 0.3333 0.8429
Pt 0.8374 0.1626 0.7011
Pm 0.0000 0.0000 0.0000
B 0.3333 0.6667 0.1571
Pt 0.1626 0.3252 0.2989
Be 0.0000 0.0000 0.5000
Pt 0.8374 0.6748 0.7011

Energy of formation ... -0.84 eV per atom
Space group ... No. 164

***

Q: energy of formation of number 2 (Pm3BeB2Pt9)?
A: -0.84 eV per atom

***

Q: Which of these has the highest energy of formation?
A: PmBe4B4

***

Q: Among the records above, which one has the highest energy of formation?
A: PmBe4B4

***

Q: Number 2 is which compound?
A: Pm3BeB2Pt9